A plane-wave DFT calculation with PBE was carried out for a relaxed Be4TcAs crystal.

Lattice parameters (Å, degrees): 6.2270 6.2270 6.2270 90.00 90.00 90.00
Space group F-43m (No. 216)
Symmetry-distinct sites (fractional):
Be: 0.1231 0.1231 0.1231 x16
Tc: 0.2500 0.2500 0.7500 x4
As: 0.0000 0.0000 0.5000 x4

Formation energy from the elements: -0.09 eV/atom